# 1
The following is a DFT calculation (PBE) of a relaxed Pr2SmEu crystal.

```
data_Pr2SmEu
_cell_length_a 5.229
_cell_length_b 5.268
_cell_length_c 5.268
_cell_angle_alpha 90.00
_cell_angle_beta 90.00
_cell_angle_gamma 90.00
_symmetry_space_group_name_H-M 'P 1'
_symmetry_Int_Tables_number 1
loop_
_symmetry_equiv_pos_as_xyz
'x,y,z'
loop_
_atom_site_label
_atom_site_fract_x
_atom_site_fract_y
_atom_site_fract_z
_atom_site_occupancy
Eu1 0.500 0.500 0.500 1
Sm1 0.500 0.000 0.000 1
Pr1 0.000 0.000 0.500 1
Pr2 0.000 0.500 0.000 1
```

Summary:
energy = -6.08 eV per atom
DOS(E_F) = 1.53 states/eV per atom
ΔE to the lowest computed polymorph = 0.11 eV/f.u.
calculated formation energy = 0.059 eV/atom
space-group type = P4/mmm, No. 123

=====

# 2
The following is a DFT calculation (PBE) of a relaxed Ac8Rh4Se crystal.

```
data_Ac8Rh4Se
_cell_length_a 4.373
_cell_length_b 10.941
_cell_length_c 10.972
_cell_angle_alpha 84.93
_cell_angle_beta 78.50
_cell_angle_gamma 78.47
_symmetry_space_group_name_H-M 'P 1'
_symmetry_Int_Tables_number 1
loop_
_symmetry_equiv_pos_as_xyz
'x,y,z'
loop_
_atom_site_label
_atom_site_fract_x
_atom_site_fract_y
_atom_site_fract_z
_atom_site_occupancy
Ac1 0.848 0.601 0.704 1
Ac2 0.542 0.282 0.635 1
Ac3 0.799 0.048 0.355 1
Ac4 0.150 0.386 0.314 1
Ac5 0.154 0.662 0.031 1
Ac6 0.200 0.930 0.671 1
Ac7 0.844 0.331 0.981 1
Ac8 0.461 0.699 0.379 1
Rh1 0.169 0.167 0.495 1
Rh2 0.838 0.815 0.510 1
Rh3 0.651 0.518 0.180 1
Rh4 0.351 0.458 0.839 1
Se1 0.639 0.836 0.885 1
```

Summary:
energy = -5.77 eV per atom
DOS(E_F) = 0.59 states/eV per atom
E_form (uncorrected) = -888 kJ/mol of formula units
space-group type = Cm, No. 8

=====

# 3
The following is a DFT calculation (PBE) of a relaxed TiTlPb2 crystal.

```
data_TiTlPb2
_cell_length_a 8.683
_cell_length_b 8.683
_cell_length_c 6.850
_cell_angle_alpha 50.67
_cell_angle_beta 50.67
_cell_angle_gamma 90.00
_symmetry_space_group_name_H-M 'P 1'
_symmetry_Int_Tables_number 1
loop_
_symmetry_equiv_pos_as_xyz
'x,y,z'
loop_
_atom_site_label
_atom_site_fract_x
_atom_site_fract_y
_atom_site_fract_z
_atom_site_occupancy
Ti1 0.500 0.500 0.000 1
Ti2 0.250 0.750 0.500 1
Pb1 0.375 0.429 0.750 1
Pb2 0.179 0.625 0.250 1
Pb3 0.875 0.821 0.750 1
Pb4 0.571 0.125 0.250 1
Tl1 0.750 0.250 0.500 1
Tl2 0.000 0.000 0.000 1
```

Summary:
energy = -4.05 eV per atom
DOS(E_F) = 0.69 states/eV per atom
ΔE to the lowest computed polymorph = 1.06 eV/f.u.
calculated formation energy = 0.370 eV/atom
space-group type = I-42d, No. 122

=====

# 4
The following is a DFT calculation (PBE) of a relaxed Cd3Rh crystal.

```
data_Cd3Rh
_cell_length_a 3.176
_cell_length_b 4.708
_cell_length_c 5.038
_cell_angle_alpha 90.00
_cell_angle_beta 90.00
_cell_angle_gamma 90.00
_symmetry_space_group_name_H-M 'P 1'
_symmetry_Int_Tables_number 1
loop_
_symmetry_equiv_pos_as_xyz
'x,y,z'
loop_
_atom_site_label
_atom_site_fract_x
_atom_site_fract_y
_atom_site_fract_z
_atom_site_occupancy
Rh1 0.000 0.500 0.341 1
Cd1 0.500 0.000 0.480 1
Cd2 0.500 0.500 0.842 1
Cd3 0.000 0.000 0.003 1
```

Summary:
energy = -2.57 eV per atom
DOS(E_F) = 0.46 states/eV per atom
calculated formation energy = -0.046 eV/atom
space-group type = Pmm2, No. 25

=====

# 5
The following is a DFT calculation (PBE) of a relaxed V2CdBiRu crystal.

```
data_V2CdBiRu
_cell_length_a 4.772
_cell_length_b 5.147
_cell_length_c 4.772
_cell_angle_alpha 90.00
_cell_angle_beta 90.00
_cell_angle_gamma 90.00
_symmetry_space_group_name_H-M 'P 1'
_symmetry_Int_Tables_number 1
loop_
_symmetry_equiv_pos_as_xyz
'x,y,z'
loop_
_atom_site_label
_atom_site_fract_x
_atom_site_fract_y
_atom_site_fract_z
_atom_site_occupancy
Bi1 0.000 0.500 0.000 1
V1 0.000 0.000 0.500 1
V2 0.500 0.000 0.000 1
Cd1 0.500 0.500 0.500 1
Ru1 0.000 0.000 0.000 1
```

Summary:
energy = -5.63 eV per atom
DOS(E_F) = 0.86 states/eV per atom
calculated formation energy = 0.837 eV/atom
space-group type = P4/mmm, No. 123

=====

# 6
The following is a DFT calculation (PBE) of a relaxed GaPtPb3 crystal.

```
data_GaPtPb3
_cell_length_a 5.440
_cell_length_b 5.440
_cell_length_c 5.440
_cell_angle_alpha 90.00
_cell_angle_beta 90.00
_cell_angle_gamma 90.00
_symmetry_space_group_name_H-M 'P 1'
_symmetry_Int_Tables_number 1
loop_
_symmetry_equiv_pos_as_xyz
'x,y,z'
loop_
_atom_site_label
_atom_site_fract_x
_atom_site_fract_y
_atom_site_fract_z
_atom_site_occupancy
Ga1 0.500 0.500 0.500 1
Pb1 0.500 0.000 0.000 1
Pb2 0.000 0.000 0.500 1
Pb3 0.000 0.500 0.000 1
Pt1 0.000 0.000 0.000 1
```

Summary:
energy = -3.80 eV per atom
DOS(E_F) = 0.90 states/eV per atom
ΔE to the lowest computed polymorph = 0.00 eV/f.u.
calculated formation energy = 0.236 eV/atom
space-group type = Pm-3m, No. 221

=====

> Which formula does entry 2 have?

Ac8Rh4Se